10
Lattice="5.461 -3.153 0.000 5.461 3.153 0.000 -0.009 0.000 5.549" Properties=species:S:1:pos:R:3 comment="Sc3SbC | the Alexandria database | GGA-PBE | optimized geometry" e_form_raw_ev_per_atom=-0.697 dos_ef_per_ev_cell=10.68 pbc="T T T"
Sc 1.742 0.000 4.165
Sc 4.581 1.639 4.160
Sc 6.333 1.639 1.389
Sc 4.581 -1.639 4.160
Sc 6.333 -1.639 1.389
Sc 9.172 0.000 1.383
Sb 3.639 0.000 1.387
Sb 7.275 0.000 4.162
C 0.000 0.000 0.000
C -0.004 0.000 2.774